CaHo2CdPd4: relaxed, PBE.

Computed properties:
Fermi-level density of states ... 3.450 states/eV/f.u.
Formation energy from the elements ... -17.336 kcal/mol of atoms
Crystal system ... trigonal

The structure in POSCAR format:
```
CaHo2CdPd4
1.0
2.4300 1.4029 7.9876
-2.4300 1.4029 7.9876
0.0000 -2.8059 7.9876
Ca Ho Cd Pd
1 2 1 4
Cartesian
0.0000 0.0000 0.0000
0.0000 0.0000 5.8700
0.0000 0.0000 18.0930
0.0000 0.0000 11.9815
0.0000 0.0000 2.9894
0.0000 0.0000 9.0412
0.0000 0.0000 14.9218
0.0000 0.0000 20.9735
```

CaPrHoCd: relaxed, PBE.

Computed properties:
Fermi-level density of states ... 5.505 states/eV/f.u.
Formation energy from the elements ... -3.388 kcal/mol of atoms
Crystal system ... tetragonal
ΔE to the lowest computed polymorph ... 0.0 meV per atom

The structure in POSCAR format:
```
CaPrHoCd
1.0
3.6561 0.0000 0.0000
0.0000 3.6561 0.0000
0.0000 0.0000 9.4860
Ca Pr Ho Cd
1 1 1 1
Cartesian
0.0000 0.0000 0.0000
1.8280 1.8280 2.9657
0.0000 0.0000 5.4476
1.8280 1.8280 7.3742
```

CaPrHoCd: relaxed, PBE.

Computed properties:
Fermi-level density of states ... 5.364 states/eV/f.u.
Formation energy from the elements ... -0.532 kcal/mol of atoms
Crystal system ... cubic
ΔE to the lowest computed polymorph ... 123.8 meV per atom

The structure in POSCAR format:
```
CaPrHoCd
1.0
0.0000 3.9472 3.9472
3.9472 0.0000 3.9472
3.9472 3.9472 0.0000
Ca Pr Ho Cd
1 1 1 1
Cartesian
0.0000 0.0000 0.0000
5.9208 5.9208 5.9208
1.9736 1.9736 1.9736
3.9472 3.9472 3.9472
```

CaHoCdRh: relaxed, PBE.

Computed properties:
Fermi-level density of states ... 4.026 states/eV/f.u.
Formation energy from the elements ... -11.995 kcal/mol of atoms
Crystal system ... tetragonal
ΔE to the lowest computed polymorph ... 0.0 meV per atom

The structure in POSCAR format:
```
CaHoCdRh
1.0
3.5509 0.0000 0.0000
0.0000 3.5509 0.0000
0.0000 0.0000 7.4897
Ca Ho Cd Rh
1 1 1 1
Cartesian
0.0000 0.0000 0.0000
0.0000 0.0000 4.1861
1.7754 1.7754 2.1517
1.7754 1.7754 5.5693
```

CaHoCdRh: relaxed, PBE.

Computed properties:
Fermi-level density of states ... 2.942 states/eV/f.u.
Formation energy from the elements ... -9.484 kcal/mol of atoms
Crystal system ... cubic
ΔE to the lowest computed polymorph ... 108.9 meV per atom

The structure in POSCAR format:
```
CaHoCdRh
1.0
0.0000 3.5781 3.5781
3.5781 0.0000 3.5781
3.5781 3.5781 0.0000
Ca Ho Cd Rh
1 1 1 1
Cartesian
0.0000 0.0000 0.0000
3.5781 3.5781 3.5781
5.3672 5.3672 5.3672
1.7891 1.7891 1.7891
```

Ca2HoCdS4: relaxed, PBE.

Computed properties:
Fermi-level density of states ... 3.056 states/eV/f.u.
Crystal system ... monoclinic
Formation energy without anion corrections ... -1.65 eV per atom

The structure in POSCAR format:
```
Ca2HoCdS4
1.0
6.7942 0.0000 0.0000
0.0000 3.9623 0.0000
-2.4080 0.0000 6.6580
Ca Ho Cd S
2 1 1 4
Cartesian
0.0000 0.0000 0.0000
-1.2040 1.9811 3.3290
2.1931 0.0000 3.3290
3.3971 1.9811 0.0000
1.1216 1.9811 1.7189
-0.0203 0.0000 4.9643
4.4065 0.0000 1.6937
3.2647 1.9811 4.9391
```

CaHoScCd: relaxed, PBE.

Computed properties:
Fermi-level density of states ... 3.015 states/eV/f.u.
Formation energy from the elements ... 0.477 kcal/mol of atoms
Crystal system ... cubic

The structure in POSCAR format:
```
CaHoScCd
1.0
0.0000 3.8220 3.8220
3.8220 0.0000 3.8220
3.8220 3.8220 0.0000
Ca Ho Sc Cd
1 1 1 1
Cartesian
0.0000 0.0000 0.0000
3.8220 3.8220 3.8220
5.7330 5.7330 5.7330
1.9110 1.9110 1.9110
```

CaHoCdSn: relaxed, PBE.

Computed properties:
Fermi-level density of states ... 3.430 states/eV/f.u.
Formation energy from the elements ... -11.098 kcal/mol of atoms
Crystal system ... cubic

The structure in POSCAR format:
```
CaHoCdSn
1.0
0.0000 3.7753 3.7753
3.7753 0.0000 3.7753
3.7753 3.7753 0.0000
Ca Ho Cd Sn
1 1 1 1
Cartesian
0.0000 0.0000 0.0000
3.7753 3.7753 3.7753
1.8876 1.8876 1.8876
5.6629 5.6629 5.6629
```

CaTbHoCd: relaxed, PBE.

Computed properties:
Fermi-level density of states ... 4.424 states/eV/f.u.
Formation energy from the elements ... -0.044 kcal/mol of atoms
Crystal system ... cubic

The structure in POSCAR format:
```
CaTbHoCd
1.0
0.0000 3.8903 3.8903
3.8903 0.0000 3.8903
3.8903 3.8903 0.0000
Ca Tb Ho Cd
1 1 1 1
Cartesian
0.0000 0.0000 0.0000
1.9452 1.9452 1.9452
5.8355 5.8355 5.8355
3.8903 3.8903 3.8903
```

CaHoTlCd: relaxed, PBE.

Computed properties:
Fermi-level density of states ... 1.916 states/eV/f.u.
Formation energy from the elements ... -8.616 kcal/mol of atoms
Crystal system ... cubic

The structure in POSCAR format:
```
CaHoTlCd
1.0
0.0000 3.7951 3.7951
3.7951 0.0000 3.7951
3.7951 3.7951 0.0000
Ca Ho Tl Cd
1 1 1 1
Cartesian
0.0000 0.0000 0.0000
3.7951 3.7951 3.7951
5.6927 5.6927 5.6927
1.8976 1.8976 1.8976
```

CaHoTmCd: relaxed, PBE.

Computed properties:
Fermi-level density of states ... 2.233 states/eV/f.u.
Formation energy from the elements ... 0.348 kcal/mol of atoms
Crystal system ... cubic

The structure in POSCAR format:
```
CaHoTmCd
1.0
0.0000 3.8876 3.8876
3.8876 0.0000 3.8876
3.8876 3.8876 0.0000
Ca Ho Tm Cd
1 1 1 1
Cartesian
0.0000 0.0000 0.0000
3.8876 3.8876 3.8876
1.9438 1.9438 1.9438
5.8313 5.8313 5.8313
```

CaYHoCd: relaxed, PBE.

Computed properties:
Fermi-level density of states ... 4.668 states/eV/f.u.
Formation energy from the elements ... -0.233 kcal/mol of atoms
Crystal system ... cubic

The structure in POSCAR format:
```
CaYHoCd
1.0
0.0000 3.8910 3.8910
3.8910 0.0000 3.8910
3.8910 3.8910 0.0000
Ca Y Ho Cd
1 1 1 1
Cartesian
0.0000 0.0000 0.0000
1.9455 1.9455 1.9455
5.8365 5.8365 5.8365
3.8910 3.8910 3.8910
```

CaCdI2: relaxed, PBE.

Computed properties:
Fermi-level density of states ... 2.125 states/eV/f.u.
Crystal system ... trigonal
Formation energy without anion corrections ... -0.40 eV per atom
ΔE to the lowest computed polymorph ... 505.9 meV per atom

The structure in POSCAR format:
```
CaCdI2
1.0
2.2014 1.2710 9.8829
-2.2014 1.2710 9.8829
0.0000 -2.5420 9.8829
Ca Cd I
1 1 2
Cartesian
0.0000 0.0000 0.0000
0.0000 0.0000 14.8244
0.0000 0.0000 3.0241
0.0000 0.0000 26.6246
```

CaCdI2: relaxed, PBE.

Computed properties:
Fermi-level density of states ... 0.334 states/eV/f.u.
Crystal system ... tetragonal
Formation energy without anion corrections ... -0.71 eV per atom
ΔE to the lowest computed polymorph ... 204.0 meV per atom

The structure in POSCAR format:
```
CaCdI2
1.0
5.5363 0.0000 0.0000
0.0000 5.5363 0.0000
0.0000 0.0000 4.4007
Ca Cd I
1 1 2
Cartesian
0.0000 0.0000 0.0000
2.7682 2.7682 0.0000
0.0000 2.7682 2.2003
2.7682 0.0000 2.2003
```

CaCdI2: relaxed, PBE.

Computed properties:
Fermi-level density of states ... 0.000 states/eV/f.u.
Crystal system ... cubic
Formation energy without anion corrections ... -0.80 eV per atom
ΔE to the lowest computed polymorph ... 110.6 meV per atom

The structure in POSCAR format:
```
CaCdI2
1.0
0.0000 4.0686 4.0686
4.0686 0.0000 4.0686
4.0686 4.0686 0.0000
Ca Cd I
1 1 2
Cartesian
0.0000 0.0000 0.0000
4.0686 4.0686 4.0686
2.0343 2.0343 2.0343
6.1029 6.1029 6.1029
```

CaCdI3: relaxed, PBE.

Computed properties:
Fermi-level density of states ... 4.264 states/eV/f.u.
Crystal system ... cubic
Formation energy without anion corrections ... -0.74 eV per atom
ΔE to the lowest computed polymorph ... 0.0 meV per atom

The structure in POSCAR format:
```
CaCdI3
1.0
6.1100 0.0000 0.0000
0.0000 6.1100 0.0000
0.0000 0.0000 6.1100
Ca Cd I
1 1 3
Cartesian
0.0000 0.0000 0.0000
3.0550 3.0550 3.0550
0.0000 0.0000 3.0550
0.0000 3.0550 0.0000
3.0550 0.0000 0.0000
```

CaCd2I2: relaxed, PBE.

Computed properties:
Fermi-level density of states ... 1.432 states/eV/f.u.
Crystal system ... tetragonal
Formation energy without anion corrections ... -0.69 eV per atom
ΔE to the lowest computed polymorph ... 0.0 meV per atom

The structure in POSCAR format:
```
CaCd2I2
1.0
-2.0341 2.0341 10.7526
2.0341 -2.0341 10.7526
2.0341 2.0341 -10.7526
Ca Cd I
1 2 2
Cartesian
0.0000 0.0000 0.0000
2.0341 0.0000 5.3763
0.0000 2.0341 5.3763
0.0000 0.0000 8.9061
0.0000 0.0000 12.5991
```

CaCd3I: relaxed, PBE.

Computed properties:
Fermi-level density of states ... 2.508 states/eV/f.u.
Crystal system ... cubic
Formation energy without anion corrections ... 0.19 eV per atom
ΔE to the lowest computed polymorph ... 0.0 meV per atom

The structure in POSCAR format:
```
CaCd3I
1.0
6.2146 0.0000 0.0000
0.0000 6.2146 0.0000
0.0000 0.0000 6.2146
Ca Cd I
1 3 1
Cartesian
0.0000 0.0000 0.0000
0.0000 0.0000 3.1073
0.0000 3.1073 0.0000
3.1073 0.0000 0.0000
3.1073 3.1073 3.1073
```

Ca2Cd2I: relaxed, PBE.

Computed properties:
Fermi-level density of states ... 4.181 states/eV/f.u.
Crystal system ... tetragonal
Formation energy without anion corrections ... -0.41 eV per atom
ΔE to the lowest computed polymorph ... 63.3 meV per atom

The structure in POSCAR format:
```
Ca2Cd2I
1.0
8.8409 0.0000 0.0000
0.0000 8.8409 0.0000
0.0000 0.0000 4.0373
Ca Cd I
4 4 2
Cartesian
1.5485 2.8719 0.0000
2.8719 7.2924 0.0000
5.9690 1.5485 0.0000
7.2924 5.9690 0.0000
1.0450 5.4654 2.0186
3.3755 1.0450 2.0186
5.4654 7.7959 2.0186
7.7959 3.3755 2.0186
0.0000 0.0000 2.0186
4.4205 4.4205 2.0186
```

CaCd2I: relaxed, PBE.

Computed properties:
Fermi-level density of states ... 2.404 states/eV/f.u.
Crystal system ... cubic
Formation energy without anion corrections ... -0.10 eV per atom
ΔE to the lowest computed polymorph ... 249.4 meV per atom

The structure in POSCAR format:
```
CaCd2I
1.0
0.0000 4.0619 4.0619
4.0619 0.0000 4.0619
4.0619 4.0619 0.0000
Ca Cd I
1 2 1
Cartesian
0.0000 0.0000 0.0000
2.0309 2.0309 2.0309
6.0928 6.0928 6.0928
4.0619 4.0619 4.0619
```

CaCdI2: relaxed, PBE.

Computed properties:
Fermi-level density of states ... 0.000 states/eV/f.u.
Crystal system ... tetragonal
Formation energy without anion corrections ... -0.91 eV per atom
ΔE to the lowest computed polymorph ... 0.0 meV per atom

The structure in POSCAR format:
```
CaCdI2
1.0
-4.7855 4.7855 4.0455
4.7855 -4.7855 4.0455
4.7855 4.7855 -4.0455
Ca Cd I
2 2 4
Cartesian
0.0000 0.0000 0.0000
0.0000 4.7855 2.0228
4.7855 0.0000 2.0228
0.0000 0.0000 4.0455
7.1782 1.5890 -1.0114
1.5890 2.3927 1.0114
-2.3927 3.1965 3.0341
3.1965 2.3927 5.0569
```

CaCd2I2: relaxed, PBE.

Computed properties:
Fermi-level density of states ... 0.000 states/eV/f.u.
Crystal system ... tetragonal
Formation energy without anion corrections ... -0.56 eV per atom
ΔE to the lowest computed polymorph ... 130.6 meV per atom

The structure in POSCAR format:
```
CaCd2I2
1.0
8.1520 0.0000 0.0000
0.0000 8.1520 0.0000
0.0000 0.0000 6.7163
Ca Cd I
2 4 4
Cartesian
0.0000 0.0000 0.0000
4.0760 4.0760 0.0000
1.1230 2.9529 3.3582
2.9529 7.0289 3.3582
5.1990 1.1230 3.3582
7.0289 5.1990 3.3582
1.3945 5.4705 0.0000
2.6815 1.3945 0.0000
5.4705 6.7575 0.0000
6.7575 2.6815 0.0000
```

Ca2CdI2: relaxed, PBE.

Computed properties:
Fermi-level density of states ... 5.415 states/eV/f.u.
Crystal system ... tetragonal
Formation energy without anion corrections ... -0.57 eV per atom
ΔE to the lowest computed polymorph ... 129.4 meV per atom

The structure in POSCAR format:
```
Ca2CdI2
1.0
-2.7641 2.7641 6.6570
2.7641 -2.7641 6.6570
2.7641 2.7641 -6.6570
Ca Cd I
2 1 2
Cartesian
2.7641 0.0000 3.3285
0.0000 2.7641 3.3285
0.0000 0.0000 0.0000
0.0000 0.0000 4.7833
0.0000 0.0000 8.5307
```

Ca3CdI: relaxed, PBE.

Computed properties:
Fermi-level density of states ... 4.831 states/eV/f.u.
Crystal system ... cubic
Formation energy without anion corrections ... -0.27 eV per atom
ΔE to the lowest computed polymorph ... 0.0 meV per atom

The structure in POSCAR format:
```
Ca3CdI
1.0
5.9751 0.0000 0.0000
0.0000 5.9751 0.0000
0.0000 0.0000 5.9751
Ca Cd I
3 1 1
Cartesian
0.0000 0.0000 2.9876
0.0000 2.9876 0.0000
2.9876 0.0000 0.0000
0.0000 0.0000 0.0000
2.9876 2.9876 2.9876
```

CaCd3I: relaxed, PBE.

Computed properties:
Fermi-level density of states ... 4.605 states/eV/f.u.
Crystal system ... cubic
Formation energy without anion corrections ... 0.43 eV per atom
ΔE to the lowest computed polymorph ... 236.8 meV per atom

The structure in POSCAR format:
```
CaCd3I
1.0
5.9665 0.0000 0.0000
0.0000 5.9665 0.0000
0.0000 0.0000 5.9665
Ca Cd I
1 3 1
Cartesian
0.0000 0.0000 0.0000
0.0000 2.9833 2.9833
2.9833 0.0000 2.9833
2.9833 2.9833 0.0000
2.9833 2.9833 2.9833
```

CaCd2I: relaxed, PBE.

Computed properties:
Fermi-level density of states ... 2.033 states/eV/f.u.
Crystal system ... tetragonal
Formation energy without anion corrections ... -0.35 eV per atom
ΔE to the lowest computed polymorph ... 0.0 meV per atom

The structure in POSCAR format:
```
CaCd2I
1.0
-4.6219 4.6219 3.1080
4.6219 -4.6219 3.1080
4.6219 4.6219 -3.1080
Ca Cd I
2 4 2
Cartesian
0.0000 0.0000 0.0000
0.0000 4.6219 1.5540
6.9329 2.2326 -0.7770
2.2326 2.3110 0.7770
-2.3110 2.3893 2.3310
2.3893 2.3110 3.8850
4.6219 0.0000 1.5540
0.0000 0.0000 3.1080
```

Ca2Cd2I: relaxed, PBE.

Computed properties:
Fermi-level density of states ... 2.970 states/eV/f.u.
Crystal system ... tetragonal
Formation energy without anion corrections ... -0.47 eV per atom
ΔE to the lowest computed polymorph ... 0.0 meV per atom

The structure in POSCAR format:
```
Ca2Cd2I
1.0
8.6361 0.0000 0.0000
0.0000 8.6361 0.0000
0.0000 0.0000 4.4408
Ca Cd I
4 4 2
Cartesian
1.4959 2.8222 0.0000
2.8222 7.1402 0.0000
5.8140 1.4959 0.0000
7.1402 5.8140 0.0000
1.0420 5.3601 2.2204
3.2760 1.0420 2.2204
5.3601 7.5941 2.2204
7.5941 3.2760 2.2204
0.0000 0.0000 0.0000
4.3181 4.3181 0.0000
```

Ca2CdI2: relaxed, PBE.

Computed properties:
Fermi-level density of states ... 1.273 states/eV/f.u.
Crystal system ... tetragonal
Formation energy without anion corrections ... -0.70 eV per atom
ΔE to the lowest computed polymorph ... 0.0 meV per atom

The structure in POSCAR format:
```
Ca2CdI2
1.0
8.5440 0.0000 0.0000
0.0000 8.5440 0.0000
0.0000 0.0000 4.8852
Ca Cd I
4 2 4
Cartesian
1.4152 2.8568 0.0000
2.8568 7.1288 0.0000
5.6872 1.4152 0.0000
7.1288 5.6872 0.0000
0.0000 0.0000 0.0000
4.2720 4.2720 0.0000
1.3234 5.5954 2.4426
2.9486 1.3234 2.4426
5.5954 7.2206 2.4426
7.2206 2.9486 2.4426
```